[1]
PmGd2Sb after structural relaxation, computed with PBE-GGA.

a = 5.475 Å, b = 5.475 Å, c = 5.475 Å
α = 60.00°, β = 60.00°, γ = 60.00°
Positions (direct):
Pm: 0.000 0.000 0.000
Gd: 0.250 0.250 0.250
Gd: 0.750 0.750 0.750
Sb: 0.500 0.500 0.500

Computed properties:
Energy above the lowest structure with this stoichiometry   0.95 eV per formula unit
Formation energy from raw total energies   -0.30 eV per atom
V   116.0 Å³ per cell

[2]
PmGd2Sb after structural relaxation, computed with PBE-GGA.

a = 4.061 Å, b = 4.061 Å, c = 7.274 Å
α = 90.00°, β = 90.00°, γ = 90.00°
Positions (direct):
Pm: 0.000 0.000 0.000
Gd: 0.500 0.500 0.282
Gd: 0.500 0.500 0.718
Sb: 0.000 0.000 0.500

Computed properties:
Energy above the lowest structure with this stoichiometry   0.06 eV per formula unit
Formation energy from raw total energies   -0.52 eV per atom
V   119.9 Å³ per cell

[3]
PmGdSnSb after structural relaxation, computed with PBE-GGA.

a = 5.448 Å, b = 5.448 Å, c = 5.448 Å
α = 60.00°, β = 60.00°, γ = 60.00°
Positions (direct):
Pm: 0.000 0.000 0.000
Gd: 0.500 0.500 0.500
Sn: 0.750 0.750 0.750
Sb: 0.250 0.250 0.250

Computed properties:
Formation energy from raw total energies   -0.69 eV per atom
V   114.3 Å³ per cell

[4]
PmGdTlSb after structural relaxation, computed with PBE-GGA.

a = 5.444 Å, b = 5.444 Å, c = 5.444 Å
α = 60.00°, β = 60.00°, γ = 60.00°
Positions (direct):
Pm: 0.000 0.000 0.000
Gd: 0.500 0.500 0.500
Tl: 0.250 0.250 0.250
Sb: 0.750 0.750 0.750

Computed properties:
Formation energy from raw total energies   -0.56 eV per atom
V   114.1 Å³ per cell

[5]
PmGdSc after structural relaxation, computed with PBE-GGA.

a = 7.688 Å, b = 7.688 Å, c = 7.688 Å
α = 153.39°, β = 153.39°, γ = 37.98°
Positions (direct):
Pm: 0.000 0.000 0.000
Gd: 0.320 0.320 0.000
Sc: 0.660 0.660 0.000

Computed properties:
Energy above the lowest structure with this stoichiometry   0.00 eV per formula unit
ΔH_f (0 K)   52 meV per atom
V   91.0 Å³ per cell

[6]
PmGdSc after structural relaxation, computed with PBE-GGA.

a = 5.510 Å, b = 5.510 Å, c = 3.419 Å
α = 90.00°, β = 90.00°, γ = 120.00°
Positions (direct):
Pm: 0.000 0.000 0.000
Gd: 0.667 0.333 0.500
Sc: 0.333 0.667 0.000

Computed properties:
Energy above the lowest structure with this stoichiometry   0.09 eV per formula unit
ΔH_f (0 K)   82 meV per atom
V   89.9 Å³ per cell

[7]
PmSmGdSc after structural relaxation, computed with PBE-GGA.

a = 5.616 Å, b = 5.616 Å, c = 5.616 Å
α = 60.00°, β = 60.00°, γ = 60.00°
Positions (direct):
Pm: 0.000 0.000 0.000
Sm: 0.750 0.750 0.750
Gd: 0.250 0.250 0.250
Sc: 0.500 0.500 0.500

Computed properties:
ΔH_f (0 K)   131 meV per atom
V   125.3 Å³ per cell

[8]
TbPmGdSc after structural relaxation, computed with PBE-GGA.

a = 5.593 Å, b = 5.593 Å, c = 5.593 Å
α = 60.00°, β = 60.00°, γ = 60.00°
Positions (direct):
Tb: 0.000 0.000 0.000
Pm: 0.250 0.250 0.250
Gd: 0.500 0.500 0.500
Sc: 0.750 0.750 0.750

Computed properties:
ΔH_f (0 K)   132 meV per atom
V   123.7 Å³ per cell

Copy entry 3 word for word.
PmGdSnSb after structural relaxation, computed with PBE-GGA.

a = 5.448 Å, b = 5.448 Å, c = 5.448 Å
α = 60.00°, β = 60.00°, γ = 60.00°
Positions (direct):
Pm: 0.000 0.000 0.000
Gd: 0.500 0.500 0.500
Sn: 0.750 0.750 0.750
Sb: 0.250 0.250 0.250

Computed properties:
Formation energy from raw total energies   -0.69 eV per atom
V   114.3 Å³ per cell

Q: V of number 6 (PmGdSc)?
A: 89.9 Å³ per cell